# 1
Here is an optimized crystal structure of Ni3H6Pd from the Alexandria database. Energies are from PBE.

Structure (POSCAR):
```
Ni3H6Pd
1.0
4.546 0.000 0.000
0.000 5.460 -0.007
0.000 -1.225 5.321
Ni H Pd
6 12 2
direct
0.467 0.902 0.688
0.967 0.688 0.902
0.390 0.403 0.597
0.890 0.597 0.403
0.967 0.098 0.312
0.467 0.312 0.098
0.176 0.679 0.634
0.676 0.634 0.679
0.227 0.457 0.899
0.727 0.899 0.457
0.304 0.023 0.977
0.584 0.221 0.779
0.084 0.779 0.221
0.804 0.977 0.023
0.227 0.101 0.543
0.727 0.543 0.101
0.176 0.366 0.321
0.676 0.321 0.366
0.967 0.175 0.825
0.467 0.825 0.175
```

Values from the calculation:
- DOS at the Fermi energy: 5.47 states/eV/cell
- E: -84.86 eV/cell
- Excess energy over the best structure of this formula in the dataset: 0.28 eV per formula unit
- Magnetic moment: 0.00 Bohr magnetons per cell
- Theoretical density: 7.3 g/cm3
- Symmetry: No. 36

=====

# 2
Here is an optimized crystal structure of Ni5H12Pd3 from the Alexandria database. Energies are from PBE.

Structure (POSCAR):
```
Ni5H12Pd3
1.0
-6.534 5.135 3.627
-2.641 -2.932 -8.163
1.600 -7.111 5.394
Pd Ni H
12 20 48
direct
0.750 0.375 0.125
0.875 0.750 0.125
0.375 0.750 0.625
0.250 0.125 0.375
0.875 0.125 0.250
0.375 0.625 0.250
0.625 0.375 0.750
0.125 0.875 0.750
0.750 0.875 0.625
0.625 0.250 0.375
0.125 0.250 0.875
0.250 0.625 0.875
0.125 0.375 0.250
0.000 0.500 0.000
0.000 0.000 0.000
0.375 0.250 0.125
0.500 0.000 0.500
0.500 0.500 0.000
0.125 0.750 0.375
0.750 0.125 0.875
0.750 0.625 0.375
0.375 0.125 0.750
0.625 0.875 0.250
0.500 0.500 0.500
0.500 0.000 0.000
0.000 0.000 0.500
0.250 0.375 0.625
0.250 0.875 0.125
0.000 0.500 0.500
0.875 0.250 0.625
0.625 0.750 0.875
0.875 0.625 0.750
0.705 0.127 0.035
0.330 0.535 0.408
0.965 0.373 0.295
0.535 0.205 0.127
0.578 0.705 0.670
0.965 0.592 0.170
0.330 0.795 0.422
0.092 0.922 0.127
0.592 0.965 0.670
0.705 0.578 0.170
0.795 0.465 0.373
0.830 0.908 0.035
0.127 0.705 0.535
0.373 0.408 0.078
0.078 0.908 0.373
0.422 0.127 0.592
0.078 0.170 0.205
0.465 0.670 0.092
0.830 0.922 0.295
0.127 0.422 0.092
0.373 0.965 0.795
0.592 0.627 0.422
0.908 0.830 0.535
0.795 0.330 0.922
0.408 0.373 0.578
0.092 0.170 0.465
0.205 0.670 0.078
0.170 0.078 0.705
0.627 0.035 0.205
0.873 0.578 0.908
0.535 0.330 0.908
0.578 0.873 0.408
0.922 0.830 0.795
0.922 0.092 0.627
0.873 0.295 0.465
0.170 0.092 0.965
0.627 0.592 0.922
0.408 0.035 0.330
0.295 0.422 0.830
0.205 0.535 0.627
0.908 0.078 0.873
0.670 0.205 0.578
0.465 0.795 0.873
0.035 0.408 0.830
0.422 0.295 0.330
0.035 0.627 0.705
0.670 0.465 0.592
0.295 0.873 0.965
```

Values from the calculation:
- DOS at the Fermi energy: 27.28 states/eV/cell
- E: -334.24 eV/cell
- Magnetic moment: 0.00 Bohr magnetons per cell
- Theoretical density: 7.2 g/cm3
- Symmetry: No. 230

=====

# 3
Here is an optimized crystal structure of Ni3HPd from the Alexandria database. Energies are from PBE.

Structure (POSCAR):
```
Ni3HPd
1.0
4.605 0.000 0.000
0.000 4.605 0.000
0.000 0.000 4.605
Ni Pd H
3 1 1
direct
0.000 0.500 0.000
0.000 0.000 0.500
0.500 0.000 0.000
0.000 0.000 0.000
0.500 0.500 0.500
```

Values from the calculation:
- DOS at the Fermi energy: 14.50 states/eV/cell
- E: -17.08 eV/cell
- Excess energy over the best structure of this formula in the dataset: 8.71 eV per formula unit
- Magnetic moment: 3.10 Bohr magnetons per cell
- Theoretical density: 4.8 g/cm3
- Symmetry: No. 221

=====

# 4
Here is an optimized crystal structure of Ni2H5Pd5 from the Alexandria database. Energies are from PBE.

Structure (POSCAR):
```
Ni2H5Pd5
1.0
2.777 0.000 0.000
-1.389 4.656 -0.123
0.000 -2.438 8.914
Ni H Pd
2 5 5
direct
0.042 0.083 0.783
0.958 0.917 0.217
0.095 0.190 0.388
0.646 0.292 0.842
0.354 0.708 0.158
0.905 0.810 0.612
0.000 0.000 0.000
0.500 0.000 0.500
0.650 0.300 0.058
0.726 0.453 0.358
0.274 0.547 0.642
0.350 0.700 0.942
```

Values from the calculation:
- DOS at the Fermi energy: 6.39 states/eV/cell
- E: -54.15 eV/cell
- Excess energy over the best structure of this formula in the dataset: 0.36 eV per formula unit
- Magnetic moment: 0.00 Bohr magnetons per cell
- Theoretical density: 9.5 g/cm3
- Symmetry: No. 12

=====

# 5
Here is an optimized crystal structure of NiH2Pd from the Alexandria database. Energies are from PBE.

Structure (POSCAR):
```
NiH2Pd
1.0
0.000 2.545 2.545
2.545 0.000 2.545
2.545 2.545 0.000
Ni Pd H
1 1 2
direct
0.000 0.000 0.000
0.500 0.500 0.500
0.250 0.250 0.250
0.750 0.750 0.750
```

Values from the calculation:
- DOS at the Fermi energy: 2.94 states/eV/cell
- E: -16.06 eV/cell
- Excess energy over the best structure of this formula in the dataset: 1.80 eV per formula unit
- Magnetic moment: 0.00 Bohr magnetons per cell
- Theoretical density: 8.4 g/cm3
- Symmetry: No. 225

=====

# 6
Here is an optimized crystal structure of Ni6H12Pd from the Alexandria database. Energies are from PBE.

Structure (POSCAR):
```
Ni6H12Pd
1.0
5.132 -0.021 -0.029
-1.292 4.967 -0.029
-1.292 -1.665 4.680
Ni H Pd
6 12 1
direct
0.631 0.226 0.226
0.226 0.226 0.631
0.226 0.631 0.226
0.774 0.774 0.369
0.369 0.774 0.774
0.774 0.369 0.774
0.864 0.136 0.500
0.794 0.528 0.528
0.528 0.528 0.794
0.472 0.206 0.472
0.472 0.472 0.206
0.206 0.472 0.472
0.136 0.500 0.864
0.500 0.864 0.136
0.136 0.864 0.500
0.864 0.500 0.136
0.500 0.136 0.864
0.528 0.794 0.528
0.000 0.000 0.000
```

Values from the calculation:
- DOS at the Fermi energy: 5.85 states/eV/cell
- E: -78.54 eV/cell
- Magnetic moment: 0.00 Bohr magnetons per cell
- Theoretical density: 6.6 g/cm3
- Symmetry: No. 166

=====

Repeat the sixth record exactly.
Here is an optimized crystal structure of Ni6H12Pd from the Alexandria database. Energies are from PBE.

Structure (POSCAR):
```
Ni6H12Pd
1.0
5.132 -0.021 -0.029
-1.292 4.967 -0.029
-1.292 -1.665 4.680
Ni H Pd
6 12 1
direct
0.631 0.226 0.226
0.226 0.226 0.631
0.226 0.631 0.226
0.774 0.774 0.369
0.369 0.774 0.774
0.774 0.369 0.774
0.864 0.136 0.500
0.794 0.528 0.528
0.528 0.528 0.794
0.472 0.206 0.472
0.472 0.472 0.206
0.206 0.472 0.472
0.136 0.500 0.864
0.500 0.864 0.136
0.136 0.864 0.500
0.864 0.500 0.136
0.500 0.136 0.864
0.528 0.794 0.528
0.000 0.000 0.000
```

Values from the calculation:
- DOS at the Fermi energy: 5.85 states/eV/cell
- E: -78.54 eV/cell
- Magnetic moment: 0.00 Bohr magnetons per cell
- Theoretical density: 6.6 g/cm3
- Symmetry: No. 166